# 1
Crystalline CaPrLu at its relaxed geometry, computed with PBE-GGA.

POSCAR file:
```
CaPrLu
1.0
3.6455 0.0000 0.0000
-1.8227 3.1571 0.0000
0.0000 0.0000 9.1237
Ca Pr Lu
1 1 1
direct
0.0000 0.0000 0.0000
0.3333 0.6667 0.6406
0.6667 0.3333 0.3361
```

Values from the calculation:
Electronic total energy = -11.1 eV per cell
Energy relative to the elements = 0.0669 eV/atom
Spin magnetization = 0.0 μB per cell
Space group = No. 156
Energy above the lowest structure with this stoichiometry = 4 meV/atom

=====

# 2
Crystalline Ca2PrLu at its relaxed geometry, computed with PBE-GGA.

POSCAR file:
```
Ca2PrLu
1.0
1.7947 1.0362 13.1235
-1.7947 1.0362 13.1235
0.0000 -2.0724 13.1235
Ca Pr Lu
2 1 1
direct
0.0858 0.0858 0.0858
0.9142 0.9142 0.9142
0.5000 0.5000 0.5000
0.0000 0.0000 0.0000
```

Values from the calculation:
Electronic total energy = -12.3 eV per cell
Energy relative to the elements = 0.2508 eV/atom
Spin magnetization = 0.4 μB per cell
Space group = No. 166
Energy above the lowest structure with this stoichiometry = 91 meV/atom

=====

# 3
Crystalline CaPrLuSc at its relaxed geometry, computed with PBE-GGA.

POSCAR file:
```
CaPrLuSc
1.0
0.0000 3.9895 3.9895
3.9895 0.0000 3.9895
3.9895 3.9895 0.0000
Ca Pr Lu Sc
1 1 1 1
direct
0.0000 0.0000 0.0000
0.7500 0.7500 0.7500
0.2500 0.2500 0.2500
0.5000 0.5000 0.5000
```

Values from the calculation:
Electronic total energy = -17.0 eV per cell
Energy relative to the elements = 0.1584 eV/atom
Spin magnetization = 0.0 μB per cell
Space group = No. 216

=====

# 4
Crystalline CaPrSmLu at its relaxed geometry, computed with PBE-GGA.

POSCAR file:
```
CaPrSmLu
1.0
0.0000 4.1039 4.1039
4.1039 0.0000 4.1039
4.1039 4.1039 0.0000
Ca Pr Sm Lu
1 1 1 1
direct
0.0000 0.0000 0.0000
0.7500 0.7500 0.7500
0.2500 0.2500 0.2500
0.5000 0.5000 0.5000
```

Values from the calculation:
Electronic total energy = -15.6 eV per cell
Energy relative to the elements = 0.1129 eV/atom
Spin magnetization = 0.0 μB per cell
Space group = No. 216

=====

# 5
Crystalline SrCaPrLu at its relaxed geometry, computed with PBE-GGA.

POSCAR file:
```
SrCaPrLu
1.0
0.0000 4.2476 4.2476
4.2476 0.0000 4.2476
4.2476 4.2476 0.0000
Sr Ca Pr Lu
1 1 1 1
direct
0.0000 0.0000 0.0000
0.2500 0.2500 0.2500
0.5000 0.5000 0.5000
0.7500 0.7500 0.7500
```

Values from the calculation:
Electronic total energy = -12.3 eV per cell
Energy relative to the elements = 0.1808 eV/atom
Spin magnetization = 0.0 μB per cell
Space group = No. 216

=====

# 6
Crystalline CaPrLuTh at its relaxed geometry, computed with PBE-GGA.

POSCAR file:
```
CaPrLuTh
1.0
0.0000 4.0804 4.0804
4.0804 0.0000 4.0804
4.0804 4.0804 0.0000
Ca Pr Lu Th
1 1 1 1
direct
0.0000 0.0000 0.0000
0.7500 0.7500 0.7500
0.5000 0.5000 0.5000
0.2500 0.2500 0.2500
```

Values from the calculation:
Electronic total energy = -17.9 eV per cell
Energy relative to the elements = 0.1965 eV/atom
Spin magnetization = 0.0 μB per cell
Space group = No. 216